1.
{"formula": "Ba2LaGaO", "functional": "meta-GGA SCAN", "state": "PBEsol geometry", "cell": [[6.3185, 0.0000, 0.0000], [0.0000, 6.3185, 0.0000], [0.0000, 0.0000, 5.2496]], "species": ["Ba", "Ba", "La", "Ga", "O"], "frac_coords": [[0.0000, 0.5000, 0.0000], [0.5000, 0.0000, 0.0000], [0.0000, 0.0000, 0.0000], [0.0000, 0.0000, 0.5000], [0.5000, 0.5000, 0.5000]], "formation_energy_uncorrected_ev_per_atom": 0.63, "space_group": "No. 123"}



2.
{"formula": "VCrB4", "functional": "meta-GGA SCAN", "state": "PBEsol geometry", "cell": [[2.9772, 0.0000, 0.0000], [-1.4886, 2.5784, 0.0000], [0.0000, 0.0000, 5.8402]], "species": ["V", "Cr", "B", "B", "B", "B"], "frac_coords": [[0.0000, 0.0000, 0.0000], [0.0000, 0.0000, 0.5000], [0.3333, 0.6667, 0.2533], [0.3333, 0.6667, 0.7467], [0.6667, 0.3333, 0.2533], [0.6667, 0.3333, 0.7467]], "space_group": "No. 191", "e_form_kj_per_mol_atoms": -56}



3.
{"formula": "LaHf2F11", "functional": "meta-GGA SCAN", "state": "PBEsol geometry", "cell": [[-3.8528, 5.0071, 5.5232], [3.8528, -5.0071, 5.5232], [3.8528, 5.0071, -5.5232]], "species": ["La", "La", "Hf", "Hf", "Hf", "Hf", "F", "F", "F", "F", "F", "F", "F", "F", "F", "F", "F", "F", "F", "F", "F", "F", "F", "F", "F", "F", "F", "F"], "frac_coords": [[0.2500, 0.2500, 0.0000], [0.7500, 0.7500, 0.0000], [0.1808, 0.6319, 0.8127], [0.3192, 0.1319, 0.4512], [0.6808, 0.8681, 0.5488], [0.8192, 0.3681, 0.1873], [0.0000, 0.5000, 0.5000], [0.0503, 0.3662, 0.1610], [0.0516, 0.9676, 0.2891], [0.1785, 0.4676, 0.9160], [0.2051, 0.8892, 0.8390], [0.2194, 0.3691, 0.5885], [0.2806, 0.8691, 0.1497], [0.2949, 0.1338, 0.6841], [0.3215, 0.2375, 0.2891], [0.4484, 0.7375, 0.9160], [0.4497, 0.6108, 0.3159], [0.5000, 0.0000, 0.5000], [0.5503, 0.3892, 0.6841], [0.5516, 0.2625, 0.0840], [0.6785, 0.7625, 0.7109], [0.7051, 0.8662, 0.3159], [0.7194, 0.1309, 0.8503], [0.7806, 0.6309, 0.4115], [0.7949, 0.1108, 0.1610], [0.8215, 0.5324, 0.0840], [0.9484, 0.0324, 0.7109], [0.9497, 0.6338, 0.8390]], "formation_energy_uncorrected_ev_per_atom": -4.16, "space_group": "No. 72"}



4.
{"formula": "Te2PtAu", "functional": "meta-GGA SCAN", "state": "PBEsol geometry", "cell": [[-2.6490, 2.6490, 2.9578], [2.6490, -2.6490, 2.9578], [2.6490, 2.6490, -2.9578]], "species": ["Te", "Te", "Pt", "Au"], "frac_coords": [[0.2500, 0.7500, 0.5000], [0.7500, 0.2500, 0.5000], [0.0000, 0.0000, 0.0000], [0.5000, 0.5000, 0.0000]], "formation_energy_uncorrected_ev_per_atom": 0.28, "space_group": "No. 139"}



5.
{"formula": "CoPSe2", "functional": "meta-GGA SCAN", "state": "PBEsol geometry", "cell": [[1.6258, 0.9386, 7.3421], [-1.6258, 0.9386, 7.3421], [0.0000, -1.8773, 7.3421]], "species": ["Co", "P", "Se", "Se"], "frac_coords": [[0.0000, 0.0000, 0.0000], [0.7318, 0.7318, 0.7318], [0.2739, 0.2739, 0.2739], [0.4730, 0.4730, 0.4730]], "formation_energy_uncorrected_ev_per_atom": 0.08, "space_group": "No. 160"}



6.
{"formula": "KCr3Sn", "functional": "meta-GGA SCAN", "state": "PBEsol geometry", "cell": [[5.3048, 0.0000, 0.0000], [0.0000, 5.3048, 0.0000], [0.0000, 0.0000, 5.3048]], "species": ["K", "Cr", "Cr", "Cr", "Sn"], "frac_coords": [[0.0000, 0.0000, 0.0000], [0.0000, 0.5000, 0.5000], [0.5000, 0.0000, 0.5000], [0.5000, 0.5000, 0.0000], [0.5000, 0.5000, 0.5000]], "space_group": "No. 221", "e_form_kj_per_mol_atoms": 67}



7.
{"formula": "CsSrSe2N", "functional": "meta-GGA SCAN", "state": "PBEsol geometry", "cell": [[5.8930, 0.0000, 0.0000], [0.0000, 5.8930, 0.0000], [0.0000, 0.0000, 5.0735]], "species": ["Cs", "Sr", "Se", "Se", "N"], "frac_coords": [[0.0000, 0.0000, 0.0000], [0.5000, 0.5000, 0.5000], [0.0000, 0.5000, 0.5000], [0.5000, 0.0000, 0.5000], [0.5000, 0.5000, 0.0000]], "formation_energy_uncorrected_ev_per_atom": -0.20, "space_group": "No. 123"}



8.
{"formula": "SrCuTe2", "functional": "meta-GGA SCAN", "state": "PBEsol geometry", "cell": [[-2.1786, 2.1786, 5.4831], [2.1786, -2.1786, 5.4831], [2.1786, 2.1786, -5.4831]], "species": ["Sr", "Cu", "Te", "Te"], "frac_coords": [[0.0000, 0.0000, 0.0000], [0.7500, 0.2500, 0.5000], [0.2500, 0.7500, 0.5000], [0.5000, 0.5000, 0.0000]], "formation_energy_uncorrected_ev_per_atom": -0.39, "space_group": "No. 119"}



9.
{"formula": "Rb3CrF6", "functional": "meta-GGA SCAN", "state": "PBEsol geometry", "cell": [[0.0000, 4.4928, 4.4928], [4.4928, 0.0000, 4.4928], [4.4928, 4.4928, 0.0000]], "species": ["Rb", "Rb", "Rb", "Cr", "F", "F", "F", "F", "F", "F"], "frac_coords": [[0.0000, 0.0000, 0.0000], [0.2500, 0.2500, 0.2500], [0.7500, 0.7500, 0.7500], [0.5000, 0.5000, 0.5000], [0.2877, 0.2877, 0.7123], [0.2877, 0.7123, 0.2877], [0.2877, 0.7123, 0.7123], [0.7123, 0.2877, 0.2877], [0.7123, 0.2877, 0.7123], [0.7123, 0.7123, 0.2877]], "formation_energy_uncorrected_ev_per_atom": -3.10, "space_group": "No. 225"}



10.
{"formula": "CaInAg2", "functional": "meta-GGA SCAN", "state": "PBEsol geometry", "cell": [[4.6301, 0.0000, 0.0000], [0.0000, 4.6301, 0.0000], [0.0000, 0.0000, 3.9667]], "species": ["Ca", "In", "Ag", "Ag"], "frac_coords": [[0.0000, 0.0000, 0.0000], [0.5000, 0.5000, 0.0000], [0.0000, 0.5000, 0.5000], [0.5000, 0.0000, 0.5000]], "space_group": "No. 123", "e_form_kj_per_mol_atoms": -21}



11.
{"formula": "Nb3Al2C", "functional": "meta-GGA SCAN", "state": "PBEsol geometry", "cell": [[7.0737, 0.0000, 0.0000], [0.0000, 7.0737, 0.0000], [0.0000, 0.0000, 7.0737]], "species": ["Nb", "Nb", "Nb", "Nb", "Nb", "Nb", "Nb", "Nb", "Nb", "Nb", "Nb", "Nb", "Al", "Al", "Al", "Al", "Al", "Al", "Al", "Al", "C", "C", "C", "C"], "frac_coords": [[0.0447, 0.1250, 0.7947], [0.1250, 0.7947, 0.0447], [0.2053, 0.5447, 0.3750], [0.2947, 0.4553, 0.8750], [0.3750, 0.2053, 0.5447], [0.4553, 0.8750, 0.2947], [0.5447, 0.3750, 0.2053], [0.6250, 0.7053, 0.9553], [0.7053, 0.9553, 0.6250], [0.7947, 0.0447, 0.1250], [0.8750, 0.2947, 0.4553], [0.9553, 0.6250, 0.7053], [0.0698, 0.9302, 0.4302], [0.1802, 0.1802, 0.1802], [0.3198, 0.8198, 0.6802], [0.4302, 0.0698, 0.9302], [0.5698, 0.5698, 0.5698], [0.6802, 0.3198, 0.8198], [0.8198, 0.6802, 0.3198], [0.9302, 0.4302, 0.0698], [0.1250, 0.3750, 0.6250], [0.3750, 0.6250, 0.1250], [0.6250, 0.1250, 0.3750], [0.8750, 0.8750, 0.8750]], "space_group": "No. 213", "e_form_kj_per_mol_atoms": -49}



12.
{"formula": "NiMoPt2Br", "functional": "meta-GGA SCAN", "state": "PBEsol geometry", "cell": [[4.8019, 0.0000, 0.0000], [0.0000, 4.8019, 0.0000], [0.0000, 0.0000, 4.7025]], "species": ["Ni", "Mo", "Pt", "Pt", "Br"], "frac_coords": [[0.0000, 0.0000, 0.0000], [0.5000, 0.5000, 0.5000], [0.0000, 0.5000, 0.5000], [0.5000, 0.0000, 0.5000], [0.5000, 0.5000, 0.0000]], "formation_energy_uncorrected_ev_per_atom": 1.30, "space_group": "No. 123"}